ScAs2PtBr after structural relaxation, computed with GGA-PBE.

Total moment: 0.0 Bohr magnetons per cell
ρ: 6.3 g/cm3
Formation energy (no corrections): 0.15 eV/atom
Relative energy among the computed polymorphs: 0.0 meV per atom
Raw total energy: -4.517 eV per atom

a b c (Å): 4.894 4.894 5.136
angles (deg): 90.00 90.00 90.00
Space group P4/mmm (No. 123)
Symmetry-distinct sites (fractional):
Sc  0.000  0.000  0.000 [1 per cell]
As  0.000  0.500  0.500 [2 per cell]
Pt  0.500  0.500  0.500 [1 per cell]
Br  0.500  0.500  0.000 [1 per cell]

---

Ta2CuRu after structural relaxation, computed with GGA-PBE.

Total moment: 0.0 Bohr magnetons per cell
ρ: 14.0 g/cm3
Raw total energy: -9.359 eV per atom
Energy of formation from the pure elements: -89 meV/atom

a b c (Å): 5.623 7.389 3.014
angles (deg): 90.00 90.00 90.00
Space group Cmmm (No. 65)
Symmetry-distinct sites (fractional):
Ta  0.250  0.250  0.000 [4 per cell]
Cu  0.000  0.000  0.500 [2 per cell]
Ru  0.000  0.500  0.500 [2 per cell]

---

ReIr2Os after structural relaxation, computed with GGA-PBE.

Total moment: 0.0 Bohr magnetons per cell
ρ: 21.8 g/cm3
Raw total energy: -10.486 eV per atom
Energy of formation from the pure elements: -136 meV/atom

a b c (Å): 5.497 9.629 4.380
angles (deg): 90.00 90.00 90.00
Space group Cmcm (No. 63)
Symmetry-distinct sites (fractional):
Re  0.000  0.082  0.250 [4 per cell]
Ir  0.248  0.333  0.250 [8 per cell]
Os  0.000  0.419  0.750 [4 per cell]

---

Tl2IrOs after structural relaxation, computed with GGA-PBE.

Total moment: 0.0 Bohr magnetons per cell
ρ: 16.0 g/cm3
Relative energy among the computed polymorphs: 194.4 meV per atom
Raw total energy: -5.497 eV per atom
Energy of formation from the pure elements: 709 meV/atom

a b c (Å): 2.9715 2.9715 32.2741
angles (deg): 90.00 90.00 120.00
Space group R3m (No. 160, hexagonal axes)
Symmetry-distinct sites (fractional):
Tl  0.0000  0.0000  0.0000 [3 per cell]
Tl  0.0000  0.0000  0.2225 [3 per cell]
Ir  0.0000  0.0000  0.4757 [3 per cell]
Os  0.0000  0.0000  0.7474 [3 per cell]

---

TaInCu2 after structural relaxation, computed with GGA-PBE.

Total moment: 0.0 Bohr magnetons per cell
ρ: 10.8 g/cm3
Raw total energy: -5.503 eV per atom
Energy of formation from the pure elements: 193 meV/atom

a b c (Å): 2.882 3.752 6.015
angles (deg): 90.00 90.00 90.00
Space group Pmmm (No. 47)
Symmetry-distinct sites (fractional):
Ta  0.000  0.000  0.000 [1 per cell]
In  0.000  0.000  0.500 [1 per cell]
Cu  0.500  0.500  0.228 [2 per cell]

---

CeNd5Y4 after structural relaxation, computed with GGA-PBE.

Total moment: 1.3 Bohr magnetons per cell
ρ: 6.0 g/cm3
Raw total energy: -5.455 eV per atom
Energy of formation from the pure elements: 108 meV/atom

a b c (Å): 18.038 3.525 11.162
angles (deg): 90.00 106.88 90.00
Space group C2/m (No. 12)
Symmetry-distinct sites (fractional):
Ce  0.000  0.000  0.000 [2 per cell]
Nd  0.000  0.000  0.500 [2 per cell]
Nd  0.104  0.500  0.284 [4 per cell]
Nd  0.206  0.500  0.600 [4 per cell]
Y  0.094  0.500  0.812 [4 per cell]
Y  0.196  0.000  0.083 [4 per cell]

---

Nd3Dy2Tm6 after structural relaxation, computed with GGA-PBE.

Total moment: 0.0 Bohr magnetons per cell
ρ: 8.0 g/cm3
Relative energy among the computed polymorphs: 69.1 meV per atom
Raw total energy: -4.301 eV per atom
Energy of formation from the pure elements: 275 meV/atom

a b c (Å): 4.726 4.726 33.078
angles (deg): 90.00 90.00 90.00
Space group I4/mmm (No. 139)
Symmetry-distinct sites (fractional):
Nd  0.000  0.000  0.000 [2 per cell]
Nd  0.000  0.000  0.205 [4 per cell]
Dy  0.000  0.000  0.454 [4 per cell]
Tm  0.000  0.000  0.309 [4 per cell]
Tm  0.000  0.500  0.121 [8 per cell]

---

TaAl2Tl after structural relaxation, computed with GGA-PBE.

Total moment: 0.0 Bohr magnetons per cell
ρ: 9.7 g/cm3
Relative energy among the computed polymorphs: 85.6 meV per atom
Raw total energy: -5.218 eV per atom
Energy of formation from the pure elements: 208 meV/atom

a b c (Å): 2.874 4.800 5.474
angles (deg): 90.00 90.03 90.00
Space group Pm (No. 6)
Symmetry-distinct sites (fractional):
Ta  0.000  0.000  0.000 [1 per cell]
Al  0.498  0.500  0.195 [1 per cell]
Al  0.502  0.000  0.447 [1 per cell]
Tl  0.501  0.500  0.707 [1 per cell]